1.
Density functional theory data (PBE) for crystalline SrY2Ru at its relaxed geometry.

crystal system: monoclinic
V: 128 Å³/cell
DOS at the Fermi energy: 3.623 states/eV per cell
E above lowest polymorph: 180 meV/atom

Unit cell a=6.313 b=6.313 c=6.593 alpha=59.41 beta=59.41 gamma=35.18
Sites, in units of the cell vectors:
Y: 0.014 0.014 0.925
Y: 0.826 0.826 0.628
Ru: 0.466 0.466 0.694
Sr: 0.193 0.193 0.253

2.
Density functional theory data (PBE) for crystalline La2Cd3Rh2 at its relaxed geometry.

crystal system: monoclinic
V: 164 Å³/cell
DOS at the Fermi energy: 3.490 states/eV per cell

Unit cell a=4.309 b=5.428 c=7.690 alpha=96.36 beta=90.00 gamma=113.39
Sites, in units of the cell vectors:
Cd: 0.687 0.374 0.874
Cd: 0.313 0.626 0.126
Cd: 0.000 0.000 0.000
La: 0.372 0.744 0.643
La: 0.628 0.256 0.357
Rh: 0.093 0.186 0.651
Rh: 0.907 0.814 0.349

3.
Density functional theory data (PBE) for crystalline Th3AlTc at its relaxed geometry.

crystal system: orthorhombic
V: 270 Å³/cell
DOS at the Fermi energy: 12.043 states/eV per cell
E above lowest polymorph: 94 meV/atom

Unit cell a=7.264 b=7.264 c=7.264 alpha=90.08 beta=117.19 gamma=122.80
Sites, in units of the cell vectors:
Al: 0.554 0.782 0.272
Al: 0.509 0.282 0.728
Th: 0.032 0.790 0.258
Th: 0.532 0.290 0.258
Th: 0.984 0.782 0.702
Th: 0.079 0.282 0.298
Th: 0.032 0.274 0.742
Th: 0.532 0.774 0.742
Tc: 0.032 0.532 0.000
Tc: 0.532 0.032 0.000

4.
Density functional theory data (PBE) for crystalline DyHg2Au at its relaxed geometry.

crystal system: tetragonal
V: 89 Å³/cell
DOS at the Fermi energy: 1.662 states/eV per cell
E above lowest polymorph: 0 meV/atom

Unit cell a=5.006 b=5.006 c=5.014 alpha=90.42 beta=119.75 gamma=119.71
Sites, in units of the cell vectors:
Hg: 0.625 0.063 0.688
Hg: 0.125 0.813 0.938
Dy: 0.125 0.312 0.437
Au: 0.625 0.562 0.187

5.
Density functional theory data (PBE) for crystalline SmGa2Au4 at its relaxed geometry.

crystal system: orthorhombic
V: 551 Å³/cell
DOS at the Fermi energy: 10.639 states/eV per cell

Unit cell a=4.550 b=6.811 c=17.793 alpha=90.00 beta=90.00 gamma=90.00
Sites, in units of the cell vectors:
Au: 0.250 0.305 0.036
Au: 0.750 0.014 0.076
Au: 0.250 0.271 0.694
Au: 0.750 0.695 0.964
Au: 0.750 0.805 0.464
Au: 0.250 0.986 0.924
Au: 0.250 0.229 0.194
Au: 0.750 0.729 0.306
Au: 0.750 0.187 0.821
Au: 0.750 0.771 0.806
Au: 0.250 0.687 0.679
Au: 0.250 0.514 0.424
Au: 0.250 0.195 0.536
Au: 0.750 0.313 0.321
Au: 0.750 0.486 0.576
Au: 0.250 0.813 0.179
Ga: 0.250 0.530 0.279
Ga: 0.250 0.727 0.037
Ga: 0.750 0.030 0.221
Ga: 0.250 0.970 0.779
Ga: 0.750 0.273 0.963
Ga: 0.250 0.773 0.537
Ga: 0.750 0.227 0.463
Ga: 0.750 0.470 0.721
Sm: 0.250 0.491 0.863
Sm: 0.750 0.509 0.137
Sm: 0.250 0.009 0.363
Sm: 0.750 0.991 0.637

6.
Density functional theory data (PBE) for crystalline Dy6Sb2Te3As at its relaxed geometry.

crystal system: monoclinic
V: 346 Å³/cell
raw formation energy: -1.33 eV/atom
DOS at the Fermi energy: 4.865 states/eV per cell

Unit cell a=4.309 b=8.702 c=9.728 alpha=103.38 beta=102.79 gamma=90.00
Sites, in units of the cell vectors:
Te: 0.830 0.165 0.660
Te: 0.500 0.500 0.000
Te: 0.170 0.835 0.340
Sb: 0.833 0.668 0.666
Sb: 0.167 0.332 0.334
As: 0.500 0.000 0.000
Dy: 0.667 0.576 0.334
Dy: 0.001 0.224 0.002
Dy: 0.333 0.424 0.666
Dy: 0.999 0.776 0.998
Dy: 0.346 0.918 0.692
Dy: 0.654 0.082 0.308

7.
Density functional theory data (PBE) for crystalline Ba2PmO3 at its relaxed geometry.

crystal system: orthorhombic
V: 130 Å³/cell
raw formation energy: -2.54 eV/atom
DOS at the Fermi energy: 0.984 states/eV per cell

Unit cell a=3.970 b=4.564 c=7.779 alpha=107.06 beta=104.79 gamma=90.00
Sites, in units of the cell vectors:
O: 0.836 0.836 0.673
O: 0.164 0.164 0.327
O: 0.000 0.500 0.000
Pm: 0.000 0.000 0.000
Ba: 0.655 0.655 0.309
Ba: 0.345 0.345 0.691

8.
Density functional theory data (PBE) for crystalline SrZnRe2 at its relaxed geometry.

crystal system: orthorhombic
V: 74 Å³/cell
DOS at the Fermi energy: 2.664 states/eV per cell

Unit cell a=5.709 b=5.709 c=2.641 alpha=90.00 beta=90.00 gamma=121.23
Sites, in units of the cell vectors:
Zn: 0.000 0.500 0.500
Re: 0.000 0.000 0.000
Re: 0.500 0.500 0.000
Sr: 0.500 0.000 0.500

| no. | total DFT energy (no corrections) (eV/atom) |
| --- | --- |
| 1 | -5.948 |
| 2 | -4.396 |
| 3 | -7.289 |
| 4 | -2.571 |
| 5 | -3.909 |
| 6 | -5.490 |
| 7 | -6.456 |
| 8 | -5.928 |